[1]
DFT (PBE-GGA) results for crystalline AcHg3Pd2 at its relaxed geometry.

Summary:
Electronic total energy: -2.968 eV per atom
SG: No. 12

a b c (Å): 4.358 9.703 10.932
angles (deg): 106.81 90.00 102.98
Fractional positions:
1 Ac 0.163 0.326 0.711
2 Ac 0.837 0.674 0.289
3 Ac 0.000 0.000 0.000
4 Hg 0.042 0.084 0.344
5 Hg 0.958 0.916 0.656
6 Hg 0.212 0.423 0.402
7 Hg 0.788 0.577 0.598
8 Hg 0.624 0.247 0.206
9 Hg 0.376 0.753 0.794
10 Hg 0.500 0.000 0.500
11 Hg 0.326 0.652 0.035
12 Hg 0.674 0.348 0.965
13 Pd 0.209 0.417 0.144
14 Pd 0.791 0.583 0.856
15 Pd 0.468 0.937 0.196
16 Pd 0.532 0.063 0.804
17 Pd 0.362 0.724 0.515
18 Pd 0.638 0.276 0.485

***

[2]
DFT (PBE-GGA) results for crystalline MnRu2Br at its relaxed geometry.

Summary:
Energy relative to the elements, uncorrected: 16.21 kcal/mol of atoms
Electronic total energy: -6.646 eV per atom
SG: No. 10

a b c (Å): 4.305 2.931 5.364
angles (deg): 103.74 90.00 90.00
Fractional positions:
1 Br 0.500 0.250 0.250
2 Mn 0.500 0.750 0.750
3 Ru 0.000 0.125 0.961
4 Ru 0.000 0.375 0.539

***

[3]
DFT (PBE-GGA) results for crystalline La2ErTmTe5 at its relaxed geometry.

Summary:
Energy relative to the elements, uncorrected: -21.98 kcal/mol of atoms
Electronic total energy: -4.797 eV per atom
SG: No. 123

a b c (Å): 5.477 5.477 11.472
angles (deg): 90.00 90.00 90.00
Fractional positions:
1 La 0.500 0.500 0.323
2 La 0.500 0.500 0.677
3 Er 0.000 0.000 0.000
4 Tm 0.000 0.000 0.500
5 Te 0.000 0.500 0.500
6 Te 0.500 0.000 0.500
7 Te 0.000 0.000 0.755
8 Te 0.000 0.000 0.245
9 Te 0.500 0.500 0.000

***

[4]
DFT (PBE-GGA) results for crystalline TbAlGa2Pd at its relaxed geometry.

Summary:
Electronic total energy: -4.619 eV per atom
SG: No. 119

a b c (Å): 4.072 4.072 6.284
angles (deg): 108.91 108.91 90.00
Fractional positions:
1 Tb 0.000 0.000 0.000
2 Al 0.750 0.250 0.500
3 Ga 0.609 0.609 0.219
4 Ga 0.391 0.391 0.781
5 Pd 0.250 0.750 0.500

***

[5]
DFT (PBE-GGA) results for crystalline Pm3Ge3Pt at its relaxed geometry.

Summary:
Electronic total energy: -5.489 eV per atom
SG: No. 176

a b c (Å): 5.863 8.646 8.646
angles (deg): 120.00 90.00 90.00
Fractional positions:
1 Pm 0.750 0.688 0.604
2 Pm 0.750 0.396 0.083
3 Pm 0.750 0.917 0.312
4 Pm 0.250 0.312 0.396
5 Pm 0.250 0.604 0.917
6 Pm 0.250 0.083 0.688
7 Ge 0.250 0.721 0.642
8 Ge 0.250 0.358 0.079
9 Ge 0.250 0.921 0.279
10 Ge 0.750 0.279 0.358
11 Ge 0.750 0.642 0.921
12 Ge 0.750 0.079 0.721
13 Pt 0.250 0.667 0.333
14 Pt 0.750 0.333 0.667

***

[6]
DFT (PBE-GGA) results for crystalline TiBeAl2Pd at its relaxed geometry.

Summary:
Electronic total energy: -4.783 eV per atom
SG: No. 123

a b c (Å): 4.207 4.341 4.207
angles (deg): 90.00 90.00 90.00
Fractional positions:
1 Be 0.000 0.000 0.000
2 Al 0.000 0.000 0.500
3 Al 0.500 0.000 0.000
4 Pd 0.500 0.500 0.500
5 Ti 0.000 0.500 0.000